Below is K2ScBe2O4 after structural relaxation, with properties calculated at the PBE level.

The density of states at the Fermi level comes out at 0.054 states/eV/atom. For the theoretical density, the calculation gives 2.6 Mg/m³.

The space group is C2/m (No. 12) and the conventional cell measures 15.250, 3.003 and 5.678 Å, with angles of 90.00, 94.34 and 90.00 degrees. The distinct sites, in fractional coordinates, are K at (0.146, 0.000, 0.064), Sc at (0.000, 0.000, 0.500), Be at (0.198, 0.500, 0.550), O at (0.092, 0.500, 0.485) and O at (0.235, 0.000, 0.673).

***

Below is K2ScBeO4 after structural relaxation, with properties calculated at the PBE level.

The density of states at the Fermi level comes out at 0.840 states/eV/atom. For the theoretical density, the calculation gives 2.2 Mg/m³.

The space group is Fddd (No. 70, origin choice 2) and the conventional cell measures 4.838, 11.537 and 21.261 Å, with angles of 90.00, 90.00 and 90.00 degrees. The distinct sites, in fractional coordinates, are K at (0.125, 0.125, 0.303), Sc at (0.125, 0.125, 0.125), Be at (0.125, 0.125, 0.625) and O at (0.080, 0.289, 0.832).

***

Below is KScBeO3 after structural relaxation, with properties calculated at the PBE level.

The density of states at the Fermi level comes out at 0.000 states/eV/atom. For the theoretical density, the calculation gives 2.9 Mg/m³.

The space group is P2_1/m (No. 11) and the conventional cell measures 7.393, 3.154 and 7.448 Å, with angles of 90.00, 109.52 and 90.00 degrees. The distinct sites, in fractional coordinates, are K at (0.204, 0.250, 0.230), Sc at (0.338, 0.750, 0.850), Be at (0.074, 0.250, 0.605), O at (0.138, 0.250, 0.830), O at (0.146, 0.750, 0.541) and O at (0.469, 0.750, 0.145).

***

| no. | E_form (uncorrected) (meV/atom) |
| --- | --- |
| 1 | -2251.2 |
| 2 | -1974.5 |
| 3 | -2713.6 |